# 1
Entry from Alexandria: AsIrBr2 after structural relaxation (GGA-PBE).

Values from the calculation:
- ΔE_f (raw): 0.59 eV/atom
- Calculated volume: 23.861 Å³ per atom

Lattice parameters (Å, degrees): 12.5754 12.5754 12.5754 13.58 13.58 13.58
Last column: nearest neighbours and their distance in Å.
Atoms (fractional coordinates):
As 0.0000 0.0000 0.0000  6 As 2.97
Ir 0.5000 0.5000 0.5000  2 Br 2.38
Br 0.4362 0.4362 0.4362  1 Ir 2.38
Br 0.5638 0.5638 0.5638  1 Ir 2.38

=====

# 2
Entry from Alexandria: MgPbI3 after structural relaxation (GGA-PBE).

Values from the calculation:
- ΔE_f (raw): -0.42 eV/atom
- Calculated volume: 37.240 Å³ per atom

Lattice parameters (Å, degrees): 5.7103 5.7103 5.7103 90.00 90.00 90.00
Last column: nearest neighbours and their distance in Å.
Atoms (fractional coordinates):
Mg 0.0000 0.0000 0.0000  6 I 2.86
Pb 0.5000 0.5000 0.5000  12 I 4.04
I 0.0000 0.0000 0.5000  2 Mg 2.86
I 0.0000 0.5000 0.0000  2 Mg 2.86
I 0.5000 0.0000 0.0000  2 Mg 2.86

=====

# 3
Entry from Alexandria: K3SrMg after structural relaxation (GGA-PBE).

Values from the calculation:
- Calculated volume: 103.062 Å³ per atom
- Calculated formation energy: 0.65 eV per atom

Lattice parameters (Å, degrees): 8.0172 8.0172 8.0172 90.00 90.00 90.00
Last column: nearest neighbours and their distance in Å.
Atoms (fractional coordinates):
K 0.0000 0.0000 0.5000  2 Sr 4.01
K 0.0000 0.5000 0.0000  2 Sr 4.01
K 0.5000 0.0000 0.0000  2 Sr 4.01
Sr 0.0000 0.0000 0.0000  6 K 4.01
Mg 0.5000 0.5000 0.5000  12 K 5.67

=====

# 4
Entry from Alexandria: Cs2AgHgH after structural relaxation (GGA-PBE).

Values from the calculation:
- VASP energy: -1.65 eV per atom
- Calculated volume: 34.883 Å³ per atom

Lattice parameters (Å, degrees): 6.6400 6.6400 3.9559 90.00 90.00 90.00
Last column: nearest neighbours and their distance in Å.
Atoms (fractional coordinates):
Cs 0.0000 0.5000 0.0000  2 H 3.32
Cs 0.5000 0.0000 0.0000  2 H 3.32
Ag 0.0000 0.0000 0.5000  2 H 1.98
Hg 0.5000 0.5000 0.5000  8 Cs 3.86, 2 Hg 3.96
H 0.0000 0.0000 0.0000  2 Ag 1.98

=====

# 5
Entry from Alexandria: Mn2TlCdBr6 after structural relaxation (GGA-PBE).

Values from the calculation:
- ΔE_f (raw): -0.63 eV/atom
- Calculated volume: 29.558 Å³ per atom

Lattice parameters (Å, degrees): 7.5140 7.5140 7.5140 59.36 59.36 59.36
Last column: nearest neighbours and their distance in Å.
Atoms (fractional coordinates):
Mn 0.0000 0.0000 0.0000  6 Br 2.65-2.78
Mn 0.4947 0.4947 0.4947  6 Br 2.65-2.80
Tl 0.2330 0.2330 0.2330  6 Br 3.25-3.49
Cd 0.7130 0.7130 0.7130  6 Br 3.10-3.12
Br 0.1569 0.3512 0.7583  2 Mn 2.65-2.78
Br 0.2651 0.8209 0.6867  2 Mn 2.65-2.80
Br 0.3512 0.7583 0.1569  2 Mn 2.65-2.78
Br 0.6867 0.2651 0.8209  2 Mn 2.65-2.80
Br 0.7583 0.1569 0.3512  2 Mn 2.65-2.78
Br 0.8209 0.6867 0.2651  2 Mn 2.65-2.80

=====

# 6
Entry from Alexandria: LaSm3Hg4 after structural relaxation (GGA-PBE).

Values from the calculation:
- Calculated volume: 27.965 Å³ per atom
- Calculated formation energy: -0.48 eV per atom

Lattice parameters (Å, degrees): 10.7701 7.7125 5.3867 90.00 90.00 90.00
Last column: nearest neighbours and their distance in Å.
Atoms (fractional coordinates):
La 0.0000 0.0000 0.0000  8 Hg 3.35
La 0.5000 0.0000 0.0000  8 Hg 3.35
Sm 0.0000 0.5000 0.0000  8 Hg 3.28
Sm 0.2500 0.0000 0.4983  8 Hg 3.34-3.35
Sm 0.2500 0.5000 0.4983  8 Hg 3.28
Sm 0.5000 0.5000 0.0000  8 Hg 3.28
Sm 0.7500 0.0000 0.5017  8 Hg 3.34-3.35
Sm 0.7500 0.5000 0.5017  8 Hg 3.28
Hg 0.0000 0.2575 0.5000  6 Sm 3.28-3.35, 2 La 3.35
Hg 0.0000 0.7425 0.5000  6 Sm 3.28-3.35, 2 La 3.35
Hg 0.2500 0.2575 0.9980  6 Sm 3.28-3.35, 2 La 3.35
Hg 0.2500 0.7425 0.9980  6 Sm 3.28-3.35, 2 La 3.35
Hg 0.5000 0.2575 0.5000  6 Sm 3.28-3.35, 2 La 3.35
Hg 0.5000 0.7425 0.5000  6 Sm 3.28-3.35, 2 La 3.35
Hg 0.7500 0.2575 0.0020  6 Sm 3.28-3.35, 2 La 3.35
Hg 0.7500 0.7425 0.0020  6 Sm 3.28-3.35, 2 La 3.35

=====

# 7
Entry from Alexandria: HoSc5Tl6 after structural relaxation (GGA-PBE).

Values from the calculation:
- Calculated volume: 24.003 Å³ per atom
- Calculated formation energy: -0.26 eV per atom

Lattice parameters (Å, degrees): 8.9065 8.9065 5.1379 106.71 106.71 120.14
Last column: nearest neighbours and their distance in Å.
Atoms (fractional coordinates):
Ho 0.0000 0.0000 0.0000  8 Tl 3.18-3.20
Sc 0.1646 0.8354 0.5000  8 Tl 3.12-3.17
Sc 0.3325 0.6675 0.0000  8 Tl 3.12-3.13
Sc 0.5000 0.5000 0.5000  8 Tl 3.10-3.17
Sc 0.6675 0.3325 0.0000  8 Tl 3.12-3.13
Sc 0.8354 0.1646 0.5000  8 Tl 3.12-3.17
Tl 0.0849 0.4239 0.2545  7 Sc 3.12-3.17, 1 Ho 3.20
Tl 0.2593 0.2593 0.7591  6 Sc 3.10-3.16, 2 Ho 3.18-3.19
Tl 0.4239 0.0849 0.2545  7 Sc 3.12-3.17, 1 Ho 3.20
Tl 0.5761 0.9151 0.7455  7 Sc 3.12-3.17, 1 Ho 3.20
Tl 0.7407 0.7407 0.2409  6 Sc 3.10-3.16, 2 Ho 3.18-3.19
Tl 0.9151 0.5761 0.7455  7 Sc 3.12-3.17, 1 Ho 3.20

=====

# 8
Entry from Alexandria: Si5Ge3Au12 after structural relaxation (GGA-PBE).

Values from the calculation:
- ΔE_f (raw): 0.11 eV/atom
- Calculated volume: 20.756 Å³ per atom

Lattice parameters (Å, degrees): 12.9206 12.9206 12.9206 109.47 109.47 109.47
Last column: nearest neighbours and their distance in Å.
Atoms (fractional coordinates):
Si 0.0000 0.0000 0.0000  6 Au 2.50
Si 0.0000 0.0000 0.5000  6 Au 2.50
Si 0.0000 0.5000 0.0000  6 Au 2.50
Si 0.0000 0.5000 0.5000  6 Au 2.50
Si 0.1250 0.7500 0.8750  4 Au 2.42
Si 0.1250 0.8750 0.2500  4 Au 2.42
Si 0.2500 0.1250 0.8750  4 Au 2.42
Si 0.2500 0.6250 0.3750  4 Au 2.42
Si 0.3750 0.2500 0.6250  4 Au 2.42
Si 0.3750 0.6250 0.7500  4 Au 2.42
Si 0.5000 0.0000 0.0000  6 Au 2.50
Si 0.5000 0.0000 0.5000  6 Au 2.50
Si 0.5000 0.5000 0.0000  6 Au 2.50
Si 0.5000 0.5000 0.5000  6 Au 2.50
Si 0.6250 0.3750 0.2500  4 Au 2.42
Si 0.6250 0.7500 0.3750  4 Au 2.42
Si 0.7500 0.3750 0.6250  4 Au 2.42
Si 0.7500 0.8750 0.1250  4 Au 2.42
Si 0.8750 0.1250 0.7500  4 Au 2.42
Si 0.8750 0.2500 0.1250  4 Au 2.42
Ge 0.1250 0.2500 0.3750  8 Au 2.65-2.93
Ge 0.1250 0.3750 0.7500  8 Au 2.65-2.93
Ge 0.2500 0.3750 0.1250  8 Au 2.65-2.93
Ge 0.2500 0.8750 0.6250  8 Au 2.65-2.93
Ge 0.3750 0.1250 0.2500  8 Au 2.65-2.93
Ge 0.3750 0.7500 0.1250  8 Au 2.65-2.93
Ge 0.6250 0.2500 0.8750  8 Au 2.65-2.93
Ge 0.6250 0.8750 0.7500  8 Au 2.65-2.93
Ge 0.7500 0.1250 0.3750  8 Au 2.65-2.93
Ge 0.7500 0.6250 0.8750  8 Au 2.65-2.93
Ge 0.8750 0.6250 0.2500  8 Au 2.65-2.93
Ge 0.8750 0.7500 0.6250  8 Au 2.65-2.93
Au 0.0511 0.2234 0.1235  2 Si 2.42-2.50, 1 Ge 2.65
Au 0.0511 0.3277 0.9276  2 Si 2.42-2.50, 1 Ge 2.65
Au 0.0724 0.6235 0.4001  2 Si 2.42-2.50, 1 Ge 2.65
Au 0.0724 0.9489 0.6723  2 Si 2.42-2.50, 1 Ge 2.65
Au 0.0999 0.7234 0.6723  2 Si 2.42-2.50, 1 Ge 2.65
Au 0.0999 0.8765 0.4276  2 Si 2.42-2.50, 1 Ge 2.65
Au 0.1235 0.0511 0.2234  2 Si 2.42-2.50, 1 Ge 2.65
Au 0.1235 0.5724 0.9001  2 Si 2.42-2.50, 1 Ge 2.65
Au 0.1723 0.2234 0.5999  2 Si 2.42-2.50, 1 Ge 2.65
Au 0.1723 0.4489 0.5724  2 Si 2.42-2.50, 1 Ge 2.65
Au 0.2234 0.1235 0.0511  2 Si 2.42-2.50, 1 Ge 2.65
Au 0.2234 0.5999 0.1723  2 Si 2.42-2.50, 1 Ge 2.65
Au 0.2766 0.3277 0.9001  2 Si 2.42-2.50, 1 Ge 2.65
Au 0.2766 0.4489 0.3765  2 Si 2.42-2.50, 1 Ge 2.65
Au 0.3277 0.9001 0.2766  2 Si 2.42-2.50, 1 Ge 2.65
Au 0.3277 0.9276 0.0511  2 Si 2.42-2.50, 1 Ge 2.65
Au 0.3765 0.2766 0.4489  2 Si 2.42-2.50, 1 Ge 2.65
Au 0.3765 0.5999 0.9276  2 Si 2.42-2.50, 1 Ge 2.65
Au 0.4001 0.0724 0.6235  2 Si 2.42-2.50, 1 Ge 2.65
Au 0.4001 0.8277 0.7766  2 Si 2.42-2.50, 1 Ge 2.65
Au 0.4276 0.0999 0.8765  2 Si 2.42-2.50, 1 Ge 2.65
Au 0.4276 0.8277 0.5511  2 Si 2.42-2.50, 1 Ge 2.65
Au 0.4489 0.3765 0.2766  2 Si 2.42-2.50, 1 Ge 2.65
Au 0.4489 0.5724 0.1723  2 Si 2.42-2.50, 1 Ge 2.65
Au 0.5511 0.4276 0.8277  2 Si 2.42-2.50, 1 Ge 2.65
Au 0.5511 0.6235 0.7234  2 Si 2.42-2.50, 1 Ge 2.65
Au 0.5724 0.1723 0.4489  2 Si 2.42-2.50, 1 Ge 2.65
Au 0.5724 0.9001 0.1235  2 Si 2.42-2.50, 1 Ge 2.65
Au 0.5999 0.1723 0.2234  2 Si 2.42-2.50, 1 Ge 2.65
Au 0.5999 0.9276 0.3765  2 Si 2.42-2.50, 1 Ge 2.65
Au 0.6235 0.4001 0.0724  2 Si 2.42-2.50, 1 Ge 2.65
Au 0.6235 0.7234 0.5511  2 Si 2.42-2.50, 1 Ge 2.65
Au 0.6723 0.0724 0.9489  2 Si 2.42-2.50, 1 Ge 2.65
Au 0.6723 0.0999 0.7234  2 Si 2.42-2.50, 1 Ge 2.65
Au 0.7234 0.5511 0.6235  2 Si 2.42-2.50, 1 Ge 2.65
Au 0.7234 0.6723 0.0999  2 Si 2.42-2.50, 1 Ge 2.65
Au 0.7766 0.4001 0.8277  2 Si 2.42-2.50, 1 Ge 2.65
Au 0.7766 0.8765 0.9489  2 Si 2.42-2.50, 1 Ge 2.65
Au 0.8277 0.5511 0.4276  2 Si 2.42-2.50, 1 Ge 2.65
Au 0.8277 0.7766 0.4001  2 Si 2.42-2.50, 1 Ge 2.65
Au 0.8765 0.4276 0.0999  2 Si 2.42-2.50, 1 Ge 2.65
Au 0.8765 0.9489 0.7766  2 Si 2.42-2.50, 1 Ge 2.65
Au 0.9001 0.1235 0.5724  2 Si 2.42-2.50, 1 Ge 2.65
Au 0.9001 0.2766 0.3277  2 Si 2.42-2.50, 1 Ge 2.65
Au 0.9276 0.0511 0.3277  2 Si 2.42-2.50, 1 Ge 2.65
Au 0.9276 0.3765 0.5999  2 Si 2.42-2.50, 1 Ge 2.65
Au 0.9489 0.6723 0.0724  2 Si 2.42-2.50, 1 Ge 2.65
Au 0.9489 0.7766 0.8765  2 Si 2.42-2.50, 1 Ge 2.65

=====

# 9
Entry from Alexandria: Pm4Pr4Sm after structural relaxation (GGA-PBE).

Values from the calculation:
- Calculated volume: 35.160 Å³ per atom
- Calculated formation energy: 0.01 eV per atom

Lattice parameters (Å, degrees): 8.2237 8.2237 8.2237 95.73 95.73 143.15
Last column: nearest neighbours and their distance in Å.
Atoms (fractional coordinates):
Pm 0.0000 0.3341 0.3341  5 Pm 3.66-3.67, 6 Pr 3.68, 1 Sm 3.69
Pm 0.0000 0.6659 0.6659  5 Pm 3.66-3.67, 6 Pr 3.68, 1 Sm 3.69
Pm 0.3341 0.0000 0.3341  5 Pm 3.66-3.67, 6 Pr 3.68, 1 Sm 3.69
Pm 0.6659 0.0000 0.6659  5 Pm 3.66-3.67, 6 Pr 3.68, 1 Sm 3.69
Pr 0.3335 0.3335 0.6669  4 Pr 3.68, 2 Sm 3.68, 6 Pm 3.68
Pr 0.3335 0.6665 0.0000  4 Pr 3.68, 2 Sm 3.68, 6 Pm 3.68
Pr 0.6665 0.3335 0.0000  4 Pr 3.68, 2 Sm 3.68, 6 Pm 3.68
Pr 0.6665 0.6665 0.3331  4 Pr 3.68, 2 Sm 3.68, 6 Pm 3.68
Sm 0.0000 0.0000 0.0000  8 Pr 3.68, 4 Pm 3.69

=====

# 10
Entry from Alexandria: InP4 after structural relaxation (GGA-PBE).

Values from the calculation:
- Calculated volume: 21.899 Å³ per atom
- Calculated formation energy: 1.01 eV per atom

Lattice parameters (Å, degrees): 5.2200 5.2200 5.2200 109.47 109.47 109.47
Last column: nearest neighbours and their distance in Å.
Atoms (fractional coordinates):
In 0.0000 0.0000 0.0000  8 P 2.61
P 0.0000 0.0000 0.5000  2 In 2.61
P 0.0000 0.5000 0.0000  2 In 2.61
P 0.5000 0.0000 0.0000  2 In 2.61
P 0.5000 0.5000 0.5000  2 In 2.61